(1)
A geometry-optimized ThHg3 structure, computed with GGA-PBE.

a b c (Å): 3.5785 3.5785 9.7233
angles (deg): 90.00 90.00 120.00
Closest atoms and distances in Å follow each position.
Space group P-6m2 (No. 187)
Inequivalent atoms, fractional coordinates:
Th1 0.0000 0.0000 0.0000 [1 per cell]  6 Hg 3.31, 6 Th 3.58
Hg1 0.0000 0.0000 0.5000 [1 per cell]  6 Hg 3.08
Hg2 0.6667 0.3333 0.2654 [2 per cell]  3 Hg 3.08, 3 Th 3.31

Formation enthalpy at 0 K = -4.0 kJ per mole of atoms
Total DFT energy (no corrections) = -2.123 eV/atom

---

(2)
A geometry-optimized AcY3Bi3 structure, computed with GGA-PBE.

a b c (Å): 9.5090 9.5090 18.9102
angles (deg): 90.00 90.00 120.00
Closest atoms and distances in Å follow each position.
Space group R-3 (No. 148, hexagonal axes)
Inequivalent atoms, fractional coordinates:
Ac1 0.0000 0.0000 0.1660 [6 per cell]  6 Bi 3.40-3.41
Y1 0.9997 0.2605 0.4172 [18 per cell]  5 Bi 3.16-3.47
Bi1 0.0014 0.6261 0.4144 [18 per cell]  5 Y 3.16-3.47, 2 Ac 3.40-3.41

Formation enthalpy at 0 K = -62.7 kJ per mole of atoms
Total DFT energy (no corrections) = -5.670 eV/atom

---

(3)
A geometry-optimized Li6ZnPd8 structure, computed with GGA-PBE.

a b c (Å): 7.1100 7.1100 15.6179
angles (deg): 90.00 90.00 120.00
Closest atoms and distances in Å follow each position.
Space group R-3 (No. 148, hexagonal axes)
Inequivalent atoms, fractional coordinates:
Li1 0.0287 0.2599 0.3912 [18 per cell]  2 Pd 2.41-2.62, 1 Li 2.48
Zn1 0.0000 0.0000 0.0000 [3 per cell]  6 Pd 2.51
Pd1 0.0000 0.0000 0.2582 [6 per cell]  6 Li 2.62-2.72, 6 Pd 2.79-2.85
Pd2 0.0013 0.2479 0.8855 [18 per cell]  1 Li 2.41, 1 Zn 2.51, 1 Pd 2.61

Formation enthalpy at 0 K = -25.2 kJ per mole of atoms
Total DFT energy (no corrections) = -3.881 eV/atom

---

(4)
A geometry-optimized La4CePm3S8 structure, computed with GGA-PBE.

a b c (Å): 8.1808 8.1808 20.0892
angles (deg): 90.00 90.00 120.00
Closest atoms and distances in Å follow each position.
Space group R-3m (No. 166, hexagonal axes)
Inequivalent atoms, fractional coordinates:
La1 0.0000 0.0000 0.0000 [3 per cell]  6 S 2.93
La2 0.0000 0.5000 0.0000 [9 per cell]  6 S 2.93
Ce1 0.0000 0.0000 0.5000 [3 per cell]  6 S 2.86
Pm1 0.0000 0.5000 0.5000 [9 per cell]  6 S 2.86
S1 0.0000 0.0000 0.2473 [6 per cell]  3 Pm 2.86, 3 La 2.93
S2 0.0007 0.5003 0.2470 [18 per cell]  1 Ce 2.86, 2 Pm 2.86, 3 La 2.93

E_form (uncorrected) = -33.68 eV/f.u.
Total DFT energy (no corrections) = -6.662 eV/atom

---

(5)
A geometry-optimized ReAuSe2 structure, computed with GGA-PBE.

a b c (Å): 3.0299 4.9651 10.3454
angles (deg): 90.00 90.00 90.00
Closest atoms and distances in Å follow each position.
Space group Cmm2 (No. 35)
Inequivalent atoms, fractional coordinates:
Re1 0.0000 0.0000 0.0000 [2 per cell]  2 Se 2.46
Au1 0.0000 0.5000 0.7682 [2 per cell]  2 Re 2.84, 6 Au 2.91-3.03, 2 Se 2.97
Se1 0.0000 0.0000 0.5218 [2 per cell]  6 Se 2.91-3.03, 2 Au 2.97
Se2 0.0000 0.5000 0.1879 [2 per cell]  2 Re 2.46

E_form (uncorrected) = 1.98 eV/f.u.
E above lowest polymorph = 148 kJ/mol of formula units
Total DFT energy (no corrections) = -5.178 eV/atom

---

(6)
A geometry-optimized Be5Zn structure, computed with GGA-PBE.

a b c (Å): 8.4437 2.4321 5.4895
angles (deg): 90.00 103.38 90.00
Closest atoms and distances in Å follow each position.
Space group Cm (No. 8)
Inequivalent atoms, fractional coordinates:
Be1 0.0000 0.0000 0.0000 [2 per cell]  10 Be 2.24-2.43, 2 Zn 2.43
Be2 0.0498 0.0000 0.5831 [2 per cell]  9 Be 2.28-2.43, 3 Zn 2.30-2.33
Be3 0.1552 0.5000 0.3072 [2 per cell]  10 Be 2.18-2.43
Be4 0.2110 0.5000 0.9396 [2 per cell]  10 Be 2.18-2.43, 2 Zn 2.37
Be5 0.3800 0.0000 0.2484 [2 per cell]  11 Be 2.24-2.43, 1 Zn 2.37
Zn1 0.3290 0.0000 0.6547 [2 per cell]  10 Be 2.30-2.44, 2 Zn 2.43

Formation enthalpy at 0 K = 10.3 kJ per mole of atoms
Total DFT energy (no corrections) = -3.211 eV/atom

---

(7)
A geometry-optimized Zr3NbBr structure, computed with GGA-PBE.

a b c (Å): 5.1861 5.1861 5.1861
angles (deg): 90.00 90.00 90.00
Closest atoms and distances in Å follow each position.
Space group Pm-3m (No. 221)
Inequivalent atoms, fractional coordinates:
Zr1 0.0000 0.0000 0.5000 [3 per cell]  2 Nb 2.59
Nb1 0.0000 0.0000 0.0000 [1 per cell]  6 Zr 2.59
Br1 0.5000 0.5000 0.5000 [1 per cell]  12 Zr 3.67

E_form (uncorrected) = 4.38 eV/f.u.
E above lowest polymorph = 145 kJ/mol of formula units
Total DFT energy (no corrections) = -6.600 eV/atom

---

(8)
A geometry-optimized Dy3HoHg6 structure, computed with GGA-PBE.

a b c (Å): 9.1532 5.1437 11.0882
angles (deg): 90.00 106.59 90.00
Closest atoms and distances in Å follow each position.
Space group P2_1/m (No. 11)
Inequivalent atoms, fractional coordinates:
Dy1 0.0162 0.2500 0.3873 [2 per cell]  8 Hg 3.02-3.37
Dy2 0.1468 0.7500 0.2026 [2 per cell]  8 Hg 3.06-3.21
Dy3 0.2704 0.2500 0.9923 [2 per cell]  8 Hg 3.06-3.42
Ho1 0.4389 0.2500 0.6091 [2 per cell]  8 Hg 3.06-3.27
Hg1 0.0363 0.7500 0.9096 [2 per cell]  7 Dy 3.11-3.31, 2 Hg 3.44
Hg2 0.1526 0.2500 0.7010 [2 per cell]  5 Dy 3.02-3.34, 1 Ho 3.07, 2 Hg 3.20
Hg3 0.2580 0.7500 0.4907 [2 per cell]  4 Dy 3.06-3.37, 3 Ho 3.14-3.27, 1 Hg 3.30
Hg4 0.3388 0.2500 0.3122 [2 per cell]  3 Ho 3.16-3.24, 4 Dy 3.16-3.42, 3 Hg 3.34-3.45
Hg5 0.3601 0.7500 0.8016 [2 per cell]  8 Hg 3.17-3.50, 2 Dy 3.48-3.50, 2 Ho 3.54
Hg6 0.4369 0.7500 0.1039 [2 per cell]  1 Ho 3.06, 4 Dy 3.06-3.15, 3 Hg 3.17-3.22

Formation enthalpy at 0 K = -41.2 kJ per mole of atoms
Total DFT energy (no corrections) = -2.446 eV/atom

---

(9)
A geometry-optimized CsMg3Zr structure, computed with GGA-PBE.

a b c (Å): 5.7028 5.7028 5.7028
angles (deg): 90.00 90.00 90.00
Closest atoms and distances in Å follow each position.
Space group Pm-3m (No. 221)
Inequivalent atoms, fractional coordinates:
Cs1 0.0000 0.0000 0.0000 [1 per cell]  6 Mg 2.85
Mg1 0.0000 0.0000 0.5000 [3 per cell]  2 Cs 2.85
Zr1 0.5000 0.5000 0.5000 [1 per cell]  12 Mg 4.03

Formation enthalpy at 0 K = 164.8 kJ per mole of atoms
E above lowest polymorph = 442 kJ/mol of formula units
Total DFT energy (no corrections) = -1.129 eV/atom

---

(10)
A geometry-optimized HoCd3 structure, computed with GGA-PBE.

a b c (Å): 7.1480 10.8440 4.8746
angles (deg): 90.00 90.00 90.00
Closest atoms and distances in Å follow each position.
Space group Cmcm (No. 63)
Inequivalent atoms, fractional coordinates:
Ho1 0.0000 0.1343 0.2500 [4 per cell]  10 Cd 3.19-3.32
Cd1 0.0000 0.3248 0.7500 [4 per cell]  8 Cd 3.02-3.31, 2 Ho 3.19
Cd2 0.2168 0.4052 0.2500 [8 per cell]  7 Cd 3.02-3.31, 4 Ho 3.20-3.32

Formation enthalpy at 0 K = -26.3 kJ per mole of atoms
Total DFT energy (no corrections) = -2.103 eV/atom

---

(11)
A geometry-optimized AlSbW structure, computed with GGA-PBE.

a b c (Å): 6.3654 6.3654 6.3654
angles (deg): 90.00 90.00 90.00
Closest atoms and distances in Å follow each position.
Space group F-43m (No. 216)
Inequivalent atoms, fractional coordinates:
Al1 0.0000 0.0000 0.0000 [4 per cell]  4 Sb 2.76
Sb1 0.2500 0.2500 0.2500 [4 per cell]  4 W 2.76, 4 Al 2.76
W1 0.0000 0.0000 0.5000 [4 per cell]  4 Sb 2.76

E_form (uncorrected) = 2.95 eV/f.u.
E above lowest polymorph = 257 kJ/mol of formula units
Total DFT energy (no corrections) = -5.955 eV/atom

---

(12)
A geometry-optimized CoSbPb2 structure, computed with GGA-PBE.

a b c (Å): 3.3241 4.6071 13.0175
angles (deg): 90.00 90.00 90.00
Closest atoms and distances in Å follow each position.
Space group Imm2 (No. 44)
Inequivalent atoms, fractional coordinates:
Co1 0.0000 0.0000 0.0000 [2 per cell]  2 Sb 2.58, 4 Pb 2.86
Sb1 0.0000 0.5000 0.3484 [2 per cell]  2 Co 2.58
Pb1 0.0000 0.0000 0.5260 [2 per cell]  4 Co 2.86
Pb2 0.0000 0.5000 0.7023 [2 per cell]  2 Co 3.11, 4 Pb 3.25-3.32, 4 Sb 3.42

E_form (uncorrected) = 1.01 eV/f.u.
E above lowest polymorph = 47 kJ/mol of formula units
Total DFT energy (no corrections) = -4.409 eV/atom